Computed, not measured: PCl after structural relaxation at the PBEsol level of DFT.

Geometry as CIF:
```
data_PCl
_space_group_name_H-M_alt 'P -6 m 2'
_space_group_IT_number 187
_space_group_name_Hall 'P -6 2'
_cell_length_a 3.0287
_cell_length_b 3.0287
_cell_length_c 4.2021
_cell_angle_alpha 90.00
_cell_angle_beta 90.00
_cell_angle_gamma 120.00
loop_
_atom_site_label
_atom_site_type_symbol
_atom_site_fract_x
_atom_site_fract_y
_atom_site_fract_z
_atom_site_occupancy
P1 P 0.0000 0.0000 0.0000 1
Cl1 Cl 0.6667 0.3333 0.5000 1
```

Summary:
* energy relative to the elements, uncorrected: 0.6121 eV per atom
* DOS(E_F): 0.74 states/eV/cell
* total magnetic moment: 0.000 μB/atom
* relative energy among the computed polymorphs: 0.983 eV/atom